Computed, not measured: crystalline CeU2PdSe5 at its relaxed geometry at the GGA-PBE level of DFT.

The structure belongs to space group I4/mcm (No. 140); the cell edges are 7.626, 7.626 and 13.678 Å and the angles 90.00°, 90.00° and 90.00°. The asymmetric unit holds Ce at (0.000, 0.000, 0.250), U at (0.113, 0.387, 0.000), Pd at (0.000, 0.500, 0.250), Se at (0.000, 0.000, 0.000) and Se at (0.183, 0.317, 0.361).

As for the uncorrected formation energy: -1.114 eV per atom. The calculation puts the uncorrected energy at -6.80 eV/atom.